# AcGdLuTh | the Alexandria database | PBE-GGA | optimized geometry
# Formation energy ... 0.140 eV/atom
# Symmetry ... F-43m (216)
# Calculated density ... 9.6 g cm⁻³
data_AcGdLuTh
_cell_length_a 5.792
_cell_length_b 5.792
_cell_length_c 5.792
_cell_angle_alpha 60.00
_cell_angle_beta 60.00
_cell_angle_gamma 60.00
_space_group_name_H-M_alt 'P 1'
_space_group_IT_number 1
loop_
_space_group_symop_operation_xyz
'x,y,z'
loop_
_atom_site_label
_atom_site_fract_x
_atom_site_fract_y
_atom_site_fract_z
_atom_site_occupancy
Gd1 0.500 0.500 0.500 1
Ac1 0.250 0.250 0.250 1
Lu1 0.000 0.000 0.000 1
Th1 0.750 0.750 0.750 1